Computed, not measured: NbRe2F after structural relaxation at the PBE level of DFT.

Output
For the distance to the lowest polymorph of the same formula, the calculation gives 0.0000 eV/atom. The size of the total moment is 0.0 μB per formula unit. Its space-group type is I-42d, No. 122. The density of states at the Fermi level is 0.83 states/eV per atom. Its energy is -71.05 eV/cell.

Structure (POSCAR):
```
NbRe2F
1.0
-3.0880 -1.5649 0.8359
1.6758 -3.1237 0.3429
0.9425 -0.3896 10.3396
Re Nb F
4 2 2
direct
0.6436 0.1250 0.2500
0.1064 0.6250 0.2500
0.3750 0.3564 0.7500
0.8750 0.8936 0.7500
0.0000 0.0000 0.0000
0.7500 0.2500 0.5000
0.5000 0.5000 0.0000
0.2500 0.7500 0.5000
```

***

Computed, not measured: CsCdSbI2 after structural relaxation at the PBE level of DFT.

Output
The size of the total moment is 2.0 μB per formula unit. Its space-group type is P4/mmm, No. 123. The density of states at the Fermi level is 0.30 states/eV per atom. Its energy is -11.14 eV/cell.

Structure (POSCAR):
```
CsCdSbI2
1.0
-4.9342 -3.8654 1.0863
4.0136 -4.7960 1.1653
0.0986 1.4130 5.4760
Cs I Cd Sb
1 2 1 1
direct
0.5000 0.5000 0.5000
0.0000 0.5000 0.0000
0.5000 0.0000 0.0000
0.0000 0.0000 0.0000
0.0000 0.0000 0.5000
```

***

Computed, not measured: SbOsW2 after structural relaxation at the PBE level of DFT.

Output
The size of the total moment is 0.0 μB per formula unit. Its space-group type is Imm2, No. 44. The density of states at the Fermi level is 0.65 states/eV per atom. Its energy is -39.01 eV/cell.

Structure (POSCAR):
```
SbOsW2
1.0
-2.5442 -0.0645 4.7658
2.5339 -2.2854 4.1888
0.1126 3.8679 -3.7705
Os Sb W
1 1 2
direct
0.4894 0.4894 0.0000
0.2556 0.7556 0.5000
0.0149 0.0149 0.0000
0.7401 0.2401 0.5000
```

***

Computed, not measured: La2CuGe after structural relaxation at the PBE level of DFT.

Output
Its formation energy is -0.520 eV/atom. The size of the total moment is 0.0 μB per formula unit. Its space-group type is P2_1/m, No. 11. The density of states at the Fermi level is 1.01 states/eV per atom. Its energy is -41.30 eV/cell.

Structure (POSCAR):
```
La2CuGe
1.0
-1.4011 -4.0571 0.4024
1.2673 0.1642 6.0683
-7.8720 2.5706 -1.4912
La Cu Ge
4 2 2
direct
0.7500 0.2124 0.4092
0.2500 0.7876 0.5908
0.2500 0.7752 0.0545
0.7500 0.2248 0.9455
0.2500 0.4055 0.2271
0.7500 0.5945 0.7729
0.7500 0.6646 0.2955
0.2500 0.3354 0.7045
```

***

Computed, not measured: TlIr2W after structural relaxation at the PBE level of DFT.

Output
Its formation energy is 0.478 eV/atom. For the distance to the lowest polymorph of the same formula, the calculation gives 0.4074 eV/atom. The size of the total moment is 0.0 μB per formula unit. Its space-group type is P4mm, No. 99. The density of states at the Fermi level is 1.02 states/eV per atom. Its energy is -31.13 eV/cell.

Structure (POSCAR):
```
TlIr2W
1.0
-0.6722 -1.3435 -2.4797
1.7699 -2.1856 0.7044
-6.0805 -3.7398 3.6745
Ir Tl W
2 1 1
direct
0.0000 0.0000 0.9917
0.5000 0.5000 0.2359
0.0000 0.0000 0.4927
0.5000 0.5000 0.7797
```

***

Computed, not measured: SmAlPb2 after structural relaxation at the PBE level of DFT.

Output
Its formation energy is -0.267 eV/atom. The size of the total moment is 0.0 μB per formula unit. Its space-group type is P4/mmm, No. 123. The density of states at the Fermi level is 0.35 states/eV per atom. Its energy is -16.95 eV/cell.

Structure (POSCAR):
```
SmAlPb2
1.0
-2.3562 3.0542 -2.7823
0.2031 -3.0999 -3.5747
-4.1089 -1.8897 1.4053
Pb Al Sm
2 1 1
direct
0.0000 0.0000 0.5000
0.0000 0.5000 0.0000
0.5000 0.5000 0.5000
0.5000 0.0000 0.0000
```

***

Computed, not measured: ZrMo2As after structural relaxation at the PBE level of DFT.

Output
Its formation energy is 0.064 eV/atom. The size of the total moment is 0.0 μB per formula unit. Its space-group type is R3m, No. 160. The density of states at the Fermi level is 0.84 states/eV per atom. Its energy is -34.60 eV/cell.

Structure (POSCAR):
```
ZrMo2As
1.0
8.1185 -0.0096 -0.0057
7.4669 3.1869 -0.0057
7.4669 1.5222 2.7999
Mo As Zr
2 1 1
direct
0.9980 0.9980 0.9980
0.7448 0.7448 0.7448
0.2567 0.2567 0.2567
0.5005 0.5005 0.5005
```

***

Computed, not measured: Nb14InW after structural relaxation at the PBE level of DFT.

Output
Its formation energy is -0.016 eV/atom. The size of the total moment is 0.0 μB per formula unit. Its space-group type is P4/mmm, No. 123. The density of states at the Fermi level is 1.11 states/eV per atom. Its energy is -156.93 eV/cell.

Structure (POSCAR):
```
Nb14InW
1.0
6.6332 -0.0142 0.0000
0.0140 6.6332 0.0000
0.0000 0.0000 6.6521
Nb In W
14 1 1
direct
0.8750 0.8750 0.0000
0.3750 0.3750 0.0000
0.8750 0.3750 0.5000
0.8750 0.3750 0.0000
0.3750 0.8750 0.5000
0.3750 0.8750 0.0000
0.6175 0.1325 0.2477
0.6175 0.1325 0.7523
0.1325 0.6175 0.2477
0.1325 0.6175 0.7523
0.6174 0.6174 0.2477
0.6174 0.6174 0.7523
0.1326 0.1326 0.2478
0.1326 0.1326 0.7522
0.8750 0.8750 0.5000
0.3750 0.3750 0.5000
```

***

Computed, not measured: Pu3Ga5N12 after structural relaxation at the PBE level of DFT.

Output
The size of the total moment is 2.9 μB per formula unit. Its space-group type is Ia-3d, No. 230. The density of states at the Fermi level is 0.83 states/eV per atom. Its energy is -637.31 eV/cell.

Structure (POSCAR):
```
Pu3Ga5N12
1.0
10.6705 0.0000 0.0000
-3.5568 10.0602 0.0000
-3.5568 -5.0301 8.7124
Pu Ga N
12 20 48
direct
0.7500 0.3750 0.1250
0.8750 0.7500 0.1250
0.3750 0.7500 0.6250
0.2500 0.1250 0.3750
0.8750 0.1250 0.2500
0.3750 0.6250 0.2500
0.6250 0.3750 0.7500
0.1250 0.8750 0.7500
0.7500 0.8750 0.6250
0.6250 0.2500 0.3750
0.1250 0.2500 0.8750
0.2500 0.6250 0.8750
0.1250 0.3750 0.2500
0.0000 0.5000 0.0000
0.0000 0.0000 0.0000
0.3750 0.2500 0.1250
0.5000 0.0000 0.5000
0.5000 0.5000 0.0000
0.1250 0.7500 0.3750
0.7500 0.1250 0.8750
0.7500 0.6250 0.3750
0.3750 0.1250 0.7500
0.6250 0.8750 0.2500
0.5000 0.5000 0.5000
0.5000 0.0000 0.0000
0.0000 0.0000 0.5000
0.2500 0.3750 0.6250
0.2500 0.8750 0.1250
0.0000 0.5000 0.5000
0.8750 0.2500 0.6250
0.6250 0.7500 0.8750
0.8750 0.6250 0.7500
0.7188 0.1322 0.0437
0.3249 0.5437 0.4115
0.9563 0.3678 0.2812
0.5437 0.2188 0.1322
0.5867 0.7188 0.6751
0.9563 0.5885 0.1751
0.3249 0.7812 0.4133
0.0885 0.9133 0.1322
0.5885 0.9563 0.6751
0.7188 0.5867 0.1751
0.7812 0.4563 0.3678
0.8249 0.9115 0.0437
0.1322 0.7188 0.5437
0.3678 0.4115 0.0867
0.0867 0.9115 0.3678
0.4133 0.1322 0.5885
0.0867 0.1751 0.2188
0.4563 0.6751 0.0885
0.8249 0.9133 0.2812
0.1322 0.4133 0.0885
0.3678 0.9563 0.7812
0.5885 0.6322 0.4133
0.9115 0.8249 0.5437
0.7812 0.3249 0.9133
0.4115 0.3678 0.5867
0.0885 0.1751 0.4563
0.2188 0.6751 0.0867
0.1751 0.0867 0.7188
0.6322 0.0437 0.2188
0.8678 0.5867 0.9115
0.5437 0.3249 0.9115
0.5867 0.8678 0.4115
0.9133 0.8249 0.7812
0.9133 0.0885 0.6322
0.8678 0.2812 0.4563
0.1751 0.0885 0.9563
0.6322 0.5885 0.9133
0.4115 0.0437 0.3249
0.2812 0.4133 0.8249
0.2188 0.5437 0.6322
0.9115 0.0867 0.8678
0.6751 0.2188 0.5867
0.4563 0.7812 0.8678
0.0437 0.4115 0.8249
0.4133 0.2812 0.3249
0.0437 0.6322 0.7188
0.6751 0.4563 0.5885
0.2812 0.8678 0.9563
```

***

Computed, not measured: LaSmErSc after structural relaxation at the PBE level of DFT.

Output
Its formation energy is 0.088 eV/atom. The size of the total moment is 0.0 μB per formula unit. Its space-group type is Cm, No. 8. The density of states at the Fermi level is 1.64 states/eV per atom. Its energy is -20.19 eV/cell.

Structure (POSCAR):
```
LaSmErSc
1.0
3.7781 0.0000 0.5835
0.0000 5.7137 0.0000
1.0063 -2.8568 6.0225
La Sm Er Sc
1 1 1 1
direct
0.4232 0.1377 0.2753
0.6533 0.4105 0.8211
0.1912 0.8721 0.7443
0.9181 0.6443 0.2887
```

***

Computed, not measured: Na12P3Cl5 after structural relaxation at the PBE level of DFT.

Output
The size of the total moment is 2.0 μB per formula unit. Its space-group type is Ia-3d, No. 230. The density of states at the Fermi level is 0.37 states/eV per atom. Its energy is -238.96 eV/cell.

Structure (POSCAR):
```
Na12P3Cl5
1.0
14.2152 0.0000 0.0000
-4.7384 13.4023 0.0000
-4.7384 -6.7011 11.6067
P Cl Na
12 20 48
direct
0.7500 0.3750 0.1250
0.8750 0.7500 0.1250
0.3750 0.7500 0.6250
0.2500 0.1250 0.3750
0.8750 0.1250 0.2500
0.3750 0.6250 0.2500
0.6250 0.3750 0.7500
0.1250 0.8750 0.7500
0.7500 0.8750 0.6250
0.6250 0.2500 0.3750
0.1250 0.2500 0.8750
0.2500 0.6250 0.8750
0.1250 0.3750 0.2500
0.0000 0.5000 0.0000
0.0000 0.0000 0.0000
0.3750 0.2500 0.1250
0.5000 0.0000 0.5000
0.5000 0.5000 0.0000
0.1250 0.7500 0.3750
0.7500 0.1250 0.8750
0.7500 0.6250 0.3750
0.3750 0.1250 0.7500
0.6250 0.8750 0.2500
0.5000 0.5000 0.5000
0.5000 0.0000 0.0000
0.0000 0.0000 0.5000
0.2500 0.3750 0.6250
0.2500 0.8750 0.1250
0.0000 0.5000 0.5000
0.8750 0.2500 0.6250
0.6250 0.7500 0.8750
0.8750 0.6250 0.7500
0.7270 0.1379 0.0554
0.3284 0.5554 0.4176
0.9446 0.3621 0.2730
0.5554 0.2270 0.1379
0.5892 0.7270 0.6716
0.9446 0.5824 0.1716
0.3284 0.7730 0.4108
0.0824 0.9108 0.1379
0.5824 0.9446 0.6716
0.7270 0.5892 0.1716
0.7730 0.4446 0.3621
0.8284 0.9176 0.0554
0.1379 0.7270 0.5554
0.3621 0.4176 0.0892
0.0892 0.9176 0.3621
0.4108 0.1379 0.5824
0.0892 0.1716 0.2270
0.4446 0.6716 0.0824
0.8284 0.9108 0.2730
0.1379 0.4108 0.0824
0.3621 0.9446 0.7730
0.5824 0.6379 0.4108
0.9176 0.8284 0.5554
0.7730 0.3284 0.9108
0.4176 0.3621 0.5892
0.0824 0.1716 0.4446
0.2270 0.6716 0.0892
0.1716 0.0892 0.7270
0.6379 0.0554 0.2270
0.8621 0.5892 0.9176
0.5554 0.3284 0.9176
0.5892 0.8621 0.4176
0.9108 0.8284 0.7730
0.9108 0.0824 0.6379
0.8621 0.2730 0.4446
0.1716 0.0824 0.9446
0.6379 0.5824 0.9108
0.4176 0.0554 0.3284
0.2730 0.4108 0.8284
0.2270 0.5554 0.6379
0.9176 0.0892 0.8621
0.6716 0.2270 0.5892
0.4446 0.7730 0.8621
0.0554 0.4176 0.8284
0.4108 0.2730 0.3284
0.0554 0.6379 0.7270
0.6716 0.4446 0.5824
0.2730 0.8621 0.9446
```

***

Computed, not measured: ReNiP2S after structural relaxation at the PBE level of DFT.

Output
For the distance to the lowest polymorph of the same formula, the calculation gives 0.0000 eV/atom. The size of the total moment is 0.8 μB per formula unit. Its space-group type is P4/mmm, No. 123. The density of states at the Fermi level is 1.02 states/eV per atom. Its energy is -28.45 eV/cell.

Structure (POSCAR):
```
ReNiP2S
1.0
4.6238 0.0000 0.0000
0.0000 4.6238 0.0000
0.0000 0.0000 4.5888
Re S P Ni
1 1 2 1
direct
0.0000 0.0000 0.0000
0.0000 0.0000 0.5000
0.0000 0.5000 0.0000
0.5000 0.0000 0.0000
0.5000 0.5000 0.5000
```

***

Question: The highest energy belongs to which entry?
Answer: CsCdSbI2

***

Question: Which value of density of states at the Fermi level does entry 12 give?
Answer: 1.02 states/eV per atom

***

Question: Which value of energy does entry 6 give?
Answer: -16.95 eV/cell

***

What did the twelfth record say?
Computed, not measured: ReNiP2S after structural relaxation at the PBE level of DFT.

Output
For the distance to the lowest polymorph of the same formula, the calculation gives 0.0000 eV/atom. The size of the total moment is 0.8 μB per formula unit. Its space-group type is P4/mmm, No. 123. The density of states at the Fermi level is 1.02 states/eV per atom. Its energy is -28.45 eV/cell.

Structure (POSCAR):
```
ReNiP2S
1.0
4.6238 0.0000 0.0000
0.0000 4.6238 0.0000
0.0000 0.0000 4.5888
Re S P Ni
1 1 2 1
direct
0.0000 0.0000 0.0000
0.0000 0.0000 0.5000
0.0000 0.5000 0.0000
0.5000 0.0000 0.0000
0.5000 0.5000 0.5000
```